Here is a relaxed Lu4Zr2As3C3 crystal from OQMD via LeMat-Bulk. Energies are from PBE.

a = 6.1569 Å, b = 6.1569 Å, c = 13.5979 Å
α = 103.17°, β = 103.17°, γ = 60.02°
With the nearest neighbours (Å) after each atom.
Atoms (fractional coordinates):
C 0.8122 0.3439 0.0000  2 Zr 2.31, 4 Lu 2.46-2.52
C 0.0000 0.5000 0.5000  2 Zr 2.38, 4 Lu 2.45-2.46
C 0.1878 0.6561 0.0000  2 Zr 2.31, 4 Lu 2.46-2.52
C 0.3439 0.8122 0.5000  2 Zr 2.31, 4 Lu 2.46-2.52
C 0.6561 0.1878 0.5000  2 Zr 2.31, 4 Lu 2.46-2.52
C 0.5000 0.0000 0.0000  2 Zr 2.38, 4 Lu 2.45-2.46
Lu 0.9639 0.8009 0.3981  3 C 2.45-2.52
Lu 0.8693 0.7005 0.1020  3 C 2.46-2.52
Lu 0.7005 0.8693 0.6020  3 C 2.46-2.52
Lu 0.8009 0.9639 0.8981  3 C 2.45-2.52
Lu 0.1991 0.0361 0.1019  3 C 2.45-2.52
Lu 0.1307 0.2995 0.8980  3 C 2.46-2.52
Lu 0.0361 0.1991 0.6019  3 C 2.45-2.52
Lu 0.2995 0.1307 0.3980  3 C 2.46-2.52
Zr 0.5311 0.3626 0.0933  3 C 2.31-2.38
Zr 0.3626 0.5311 0.5933  3 C 2.31-2.38
Zr 0.4689 0.6374 0.9067  3 C 2.31-2.38
Zr 0.6374 0.4689 0.4067  3 C 2.31-2.38
As 0.0958 0.9042 0.7500  2 Zr 2.85, 4 Lu 2.85
As 0.2633 0.4169 0.2503  2 Zr 2.85, 4 Lu 2.85-2.86
As 0.9042 0.0958 0.2500  2 Zr 2.85, 4 Lu 2.85
As 0.7367 0.5831 0.7497  2 Zr 2.85, 4 Lu 2.85-2.86
As 0.4169 0.2633 0.7503  2 Zr 2.85, 4 Lu 2.85-2.86
As 0.5831 0.7367 0.2497  2 Zr 2.85, 4 Lu 2.85-2.86

Summary:
Its space group is C2/c.

***

Here is a relaxed Lu2Zr4As3C3 crystal from OQMD via LeMat-Bulk. Energies are from PBE.

a = 6.1025 Å, b = 6.1025 Å, c = 13.2871 Å
α = 103.29°, β = 103.29°, γ = 60.03°
With the nearest neighbours (Å) after each atom.
Atoms (fractional coordinates):
C 0.6740 0.1516 0.0000  4 Zr 2.34-2.39, 2 Lu 2.48
C 0.8484 0.3260 0.5000  4 Zr 2.34-2.39, 2 Lu 2.48
C 0.0000 0.5000 0.0000  4 Zr 2.39, 2 Lu 2.44
C 0.3260 0.8484 0.0000  4 Zr 2.34-2.39, 2 Lu 2.48
C 0.5000 0.0000 0.5000  4 Zr 2.39, 2 Lu 2.44
C 0.1516 0.6740 0.5000  4 Zr 2.34-2.39, 2 Lu 2.48
Zr 0.7988 0.9688 0.4016  3 C 2.34-2.39
Zr 0.0312 0.2012 0.0984  3 C 2.34-2.39
Zr 0.1358 0.2999 0.4016  3 C 2.34-2.39
Zr 0.9688 0.7988 0.9016  3 C 2.34-2.39
Zr 0.2999 0.1358 0.9016  3 C 2.34-2.39
Zr 0.2012 0.0312 0.5984  3 C 2.34-2.39
Zr 0.7001 0.8642 0.0984  3 C 2.34-2.39
Zr 0.8642 0.7001 0.5984  3 C 2.34-2.39
As 0.5833 0.7598 0.7507  4 Zr 2.79, 2 Lu 2.80-2.81
As 0.7598 0.5833 0.2507  4 Zr 2.79, 2 Lu 2.80-2.81
As 0.0744 0.9256 0.2500  4 Zr 2.79-2.80, 2 Lu 2.81
As 0.2402 0.4167 0.7493  4 Zr 2.79, 2 Lu 2.80-2.81
As 0.9256 0.0744 0.7500  4 Zr 2.79-2.80, 2 Lu 2.81
As 0.4167 0.2402 0.2493  4 Zr 2.79, 2 Lu 2.80-2.81
Lu 0.4651 0.6299 0.3962  3 C 2.44-2.48
Lu 0.6299 0.4651 0.8962  3 C 2.44-2.48
Lu 0.5349 0.3701 0.6038  3 C 2.44-2.48
Lu 0.3701 0.5349 0.1038  3 C 2.44-2.48

Summary:
Its space group is C2/c.

***

Final energy for every record listed, in sequence, given in eV per formula unit: -87.133; -95.703.